[1]
5
Lattice="-2.689 2.689 4.465 2.689 -2.689 4.465 2.689 2.689 -4.465" Properties=species:S:1:pos:R:3 comment="Ca2P2Br, optimized geometry, DFT PBE" sg="I4/mmm, No. 139" relative_energy_kj_per_mol_fu=42 pbc="T T T"
Ca 2.689 0.000 2.233
Ca 0.000 2.689 2.233
P 0.000 0.000 1.064
P 0.000 0.000 7.867
Br 0.000 0.000 4.465

[2]
5
Lattice="-1.984 1.984 7.344 1.984 -1.984 7.344 1.984 1.984 -7.344" Properties=species:S:1:pos:R:3 comment="La2BiHN, optimized geometry, DFT PBE" dft_energy_ev_per_atom=-6.1479 sg="I-4m2, No. 119" pbc="T T T"
La 0.000 0.000 2.349
La 0.000 0.000 12.339
Bi 0.000 0.000 7.344
H 0.000 1.984 3.672
N 1.984 0.000 3.672

[3]
8
Lattice="-2.150 2.150 3.636 2.150 -2.150 3.636 2.150 2.150 -3.636" Properties=species:S:1:pos:R:3 comment="IrCN2, optimized geometry, DFT PBE" dft_energy_ev_per_atom=-7.6446 sg="I-42d, No. 122" pbc="T T T"
Ir 0.000 0.000 0.000
Ir 0.000 2.150 1.818
C 2.150 0.000 1.818
C 0.000 0.000 3.636
N 1.075 -0.619 2.727
N 1.530 1.075 0.909
N 1.075 2.769 -0.909
N 0.619 1.075 4.545

[4]
8
Lattice="-2.060 2.060 10.046 2.060 -2.060 10.046 2.060 2.060 -10.046" Properties=species:S:1:pos:R:3 comment="LiSc2Ti, optimized geometry, DFT PBE" dft_energy_ev_per_atom=-5.0276 sg="I-42d, No. 122" pbc="T T T"
Li 0.000 0.000 0.000
Li 0.000 2.060 5.023
Sc 1.030 -1.026 7.535
Sc 1.035 1.030 2.512
Sc 1.030 3.086 -2.512
Sc 1.026 1.030 12.558
Ti 2.060 0.000 5.023
Ti 0.000 0.000 10.046

[5]
9
Lattice="7.809 -1.965 0.000 7.809 1.965 0.000 -3.050 0.000 6.695" Properties=species:S:1:pos:R:3 comment="PaPd2Pb2S4, optimized geometry, DFT PBE" dft_energy_ev_per_atom=-5.6465 sg="C2/m, No. 12" pbc="T T T"
Pa 0.000 0.000 0.000
Pd 5.073 0.000 0.093
Pd 7.494 0.000 6.602
Pb 0.437 0.000 4.394
Pb 12.131 0.000 2.301
S 2.188 0.000 1.529
S 6.936 0.000 1.647
S 5.632 0.000 5.047
S 10.380 0.000 5.166

[6]
18
Lattice="7.788 -4.070 0.000 7.788 4.070 0.000 0.000 0.000 8.057" Properties=species:S:1:pos:R:3 comment="Tb5Hg2Te2, optimized geometry, DFT PBE" dft_energy_ev_per_atom=-4.1583 sg="Cmce, No. 64" pbc="T T T"
Tb 0.000 0.000 0.000
Tb 5.735 2.713 5.333
Tb 5.735 1.356 1.305
Tb 9.840 2.713 5.333
Tb 9.840 1.356 1.305
Tb 7.788 0.000 4.029
Tb 5.735 -1.356 6.753
Tb 5.735 -2.713 2.724
Tb 9.840 -1.356 6.753
Tb 9.840 -2.713 2.724
Hg 7.788 2.975 2.977
Hg 7.788 1.094 7.006
Hg 7.788 -1.094 1.051
Hg 7.788 -2.975 5.080
Te 3.159 0.000 0.000
Te 4.629 0.000 4.029
Te 10.947 0.000 4.029
Te 12.417 0.000 0.000

[7]
10
Lattice="6.063 0.000 0.000 -3.032 5.251 0.000 0.000 0.000 5.685" Properties=species:S:1:pos:R:3 comment="Np2CoGe6Ir, optimized geometry, DFT PBE" dft_energy_ev_per_atom=-7.1177 sg="P-3m1, No. 164" pbc="T T T"
Np 0.000 3.500 1.331
Np 3.032 1.750 4.354
Co 0.000 0.000 2.842
Ge 0.000 2.016 4.168
Ge -1.285 4.243 4.168
Ge 1.746 1.008 1.517
Ge 1.285 4.243 4.168
Ge 4.317 1.008 1.517
Ge 3.032 3.234 1.517
Ir 0.000 0.000 0.000

[8]
4
Lattice="0.000 3.597 3.597 3.597 0.000 3.597 3.597 3.597 0.000" Properties=species:S:1:pos:R:3 comment="LiDyHoZn, optimized geometry, DFT PBE" dft_energy_ev_per_atom=-3.2088 sg="F-43m, No. 216" pbc="T T T"
Li 0.000 0.000 0.000
Dy 1.799 1.799 1.799
Ho 5.396 5.396 5.396
Zn 3.597 3.597 3.597